Al2Ga4Hg | PBE | optimized geometry

abc: 5.270 5.270 7.540
angles: 69.54 69.54 90.00
Fractional positions:
Hg1 0.000 0.000 0.000
Ga1 0.796 0.796 0.409
Ga2 0.204 0.204 0.591
Ga3 0.000 0.500 0.000
Ga4 0.500 0.000 0.000
Al1 0.599 0.599 0.803
Al2 0.401 0.401 0.197

uncorrected energy	-16.78	eV for the cell shown
symmetry	I4/mmm (139)
density	4.865	g/cm³
magnetic moment	0.00	μB per cell